VASP calculation (PBE) on a geometry-optimized CaYFe2 structure.

a b c (Å): 3.7005 4.3592 10.9350
angles (deg): 90.00 90.00 90.00
Closest atoms and distances in Å follow each position.
Atoms (fractional coordinates):
Ca (0.0000, 0.0000, 0.0000)  7 Fe 3.03-3.19
Ca (0.0000, 0.5000, 0.5000)  7 Fe 3.03-3.19
Y (0.5000, 0.0000, 0.7216)  6 Fe 2.95-2.99
Y (0.5000, 0.5000, 0.2216)  6 Fe 2.95-2.99
Fe (0.0000, 0.0000, 0.2874)  2 Fe 2.28
Fe (0.0000, 0.5000, 0.7874)  2 Fe 2.28
Fe (0.5000, 0.0000, 0.4088)  2 Fe 2.28
Fe (0.5000, 0.5000, 0.9088)  2 Fe 2.28

Summary:
N(E_F) = 3.74 states/eV/f.u.
spin magnetization = 3.62 μB/f.u.
total energy = -6.16 eV per atom

***

VASP calculation (PBE) on a geometry-optimized CrTeAs2Br structure.

a b c (Å): 4.8653 4.8653 4.6707
angles (deg): 90.00 90.00 90.00
Closest atoms and distances in Å follow each position.
Atoms (fractional coordinates):
Cr (0.0000, 0.0000, 0.0000)  2 Br 2.34, 4 As 2.43
Te (0.5000, 0.5000, 0.5000)  8 As 3.37, 4 Br 3.44
As (0.0000, 0.5000, 0.0000)  2 Cr 2.43
As (0.5000, 0.0000, 0.0000)  2 Cr 2.43
Br (0.0000, 0.0000, 0.5000)  2 Cr 2.34

Summary:
E_form (uncorrected) = 384 meV/atom
energy above the lowest structure with this stoichiometry = 0.000 eV/atom
N(E_F) = 5.34 states/eV/f.u.
spin magnetization = 0.00 μB/f.u.
total energy = -4.36 eV per atom

***

VASP calculation (PBE) on a geometry-optimized NdEu2Tl structure.

a b c (Å): 3.6860 3.6860 36.9604
angles (deg): 90.00 90.00 120.00
Closest atoms and distances in Å follow each position.
Atoms (fractional coordinates):
Nd (0.0000, 0.0000, 0.0000)  2 Eu 3.53, 6 Nd 3.69
Nd (0.3333, 0.6667, 0.6667)  2 Eu 3.53, 6 Nd 3.69
Nd (0.6667, 0.3333, 0.3333)  2 Eu 3.53, 6 Nd 3.69
Eu (0.0000, 0.0000, 0.0954)  3 Tl 3.39, 1 Nd 3.53, 6 Eu 3.69
Eu (0.0000, 0.0000, 0.9046)  3 Tl 3.39, 1 Nd 3.53, 6 Eu 3.69
Eu (0.3333, 0.6667, 0.5713)  3 Tl 3.39, 1 Nd 3.53, 6 Eu 3.69
Eu (0.3333, 0.6667, 0.7621)  3 Tl 3.39, 1 Nd 3.53, 6 Eu 3.69
Eu (0.6667, 0.3333, 0.2379)  3 Tl 3.39, 1 Nd 3.53, 6 Eu 3.69
Eu (0.6667, 0.3333, 0.4287)  3 Tl 3.39, 1 Nd 3.53, 6 Eu 3.69
Tl (0.0000, 0.0000, 0.5000)  6 Eu 3.39, 6 Tl 3.69
Tl (0.3333, 0.6667, 0.1667)  6 Eu 3.39, 6 Tl 3.69
Tl (0.6667, 0.3333, 0.8333)  6 Eu 3.39, 6 Tl 3.69

Summary:
energy above the lowest structure with this stoichiometry = 0.209 eV/atom
N(E_F) = 3.74 states/eV/f.u.
spin magnetization = 15.02 μB/f.u.
total energy = -6.88 eV per atom

***

VASP calculation (PBE) on a geometry-optimized SrPb2Br structure.

a b c (Å): 3.8671 3.9185 9.4221
angles (deg): 90.00 90.36 90.00
Closest atoms and distances in Å follow each position.
Atoms (fractional coordinates):
Sr (0.0000, 0.0000, 0.0000)  4 Br 3.19
Pb (0.0093, 0.0000, 0.4481)  4 Pb 3.29-3.30
Pb (0.5049, 0.5000, 0.2554)  4 Pb 3.29-3.30, 4 Sr 3.65-3.66
Br (0.4977, 0.5000, 0.8289)  4 Sr 3.19

Summary:
E_form (uncorrected) = -766 meV/atom
energy above the lowest structure with this stoichiometry = 0.000 eV/atom
N(E_F) = 1.22 states/eV/f.u.
spin magnetization = 0.00 μB/f.u.
total energy = -3.46 eV per atom

***

Q: Among the records above, which one has the highest N(E_F)?
A: CrTeAs2Br

***

Q: Which formula does entry 1 have?
A: CaYFe2